A plane-wave DFT calculation with PBE was carried out for a geometry-optimized GdRhPb structure.

Cell: 6.3240 6.3240 6.3240 Å, 148.55 148.55 45.08°
With the nearest neighbours (Å) after each atom.
Atoms (fractional coordinates):
Gd1 0.0000 0.0000 0.0000  4 Rh 2.96
Rh1 0.3553 0.3553 0.0000  4 Pb 2.95, 4 Gd 2.96
Pb1 0.7110 0.7110 0.0000  4 Rh 2.95

Calculated values
Spin magnetization (μB/f.u.): 7.10
Crystal system: tetragonal
Density (Mg/m³): 11.3
Total energy (eV per cell): -26.46